Below is a relaxed CaTe2O crystal, with properties calculated at the PBE level.

Values from the calculation:
- Formation energy without anion corrections: -0.621 eV per atom
- Density of states at the Fermi level: 1.58 states/eV per cell
- SG: R-3m, No. 166

Cell lengths 7.2850, 7.2850, 7.2850 Å; angles 40.29, 40.29, 40.29 degrees
Closest atoms and distances in Å follow each position.
Element x y z (fractional)
Ca 0.0000 0.0000 0.0000  6 Te 3.20
Te 0.4008 0.4008 0.4008  1 O 1.99
Te 0.5992 0.5992 0.5992  1 O 1.99
O 0.5000 0.5000 0.5000  2 Te 1.99